1.
A relaxed Ac3Y2HoSe6 crystal. Source: Alexandria, functional PBE.

Calculated values
VASP energy   -6.0334 eV/atom
Formation energy without anion corrections   -1.805 eV per atom
Symmetry   C2/m
N(E_F)   0.405 states/eV/atom

Lattice parameters (Å, degrees): 7.2220 7.2220 7.7095 98.99 98.99 120.12
With the nearest neighbours (Å) after each atom.
Fractional positions:
Ac  0.0000  0.0000  0.0000  6 Se 3.16-3.17
Ac  0.3325  0.6675  0.0000  6 Se 3.16-3.17
Ac  0.6675  0.3325  0.0000  6 Se 3.16-3.17
Y  0.1665  0.8335  0.5000  6 Se 2.90
Y  0.8335  0.1665  0.5000  6 Se 2.90
Ho  0.5000  0.5000  0.5000  6 Se 2.88
Se  0.0958  0.4273  0.2811  1 Ho 2.88, 2 Y 2.90, 3 Ac 3.16-3.17
Se  0.2419  0.2419  0.7199  1 Ho 2.88, 2 Y 2.90, 3 Ac 3.16-3.17
Se  0.4273  0.0958  0.2811  1 Ho 2.88, 2 Y 2.90, 3 Ac 3.16-3.17
Se  0.5727  0.9042  0.7189  1 Ho 2.88, 2 Y 2.90, 3 Ac 3.16-3.17
Se  0.7581  0.7581  0.2801  1 Ho 2.88, 2 Y 2.90, 3 Ac 3.16-3.17
Se  0.9042  0.5727  0.7189  1 Ho 2.88, 2 Y 2.90, 3 Ac 3.16-3.17

***

2.
A relaxed Ac4YHo3Se8 crystal. Source: Alexandria, functional PBE.

Calculated values
VASP energy   -5.8251 eV/atom
Formation energy without anion corrections   -1.793 eV per atom
Symmetry   R-3m
N(E_F)   0.461 states/eV/atom

Lattice parameters (Å, degrees): 8.8030 8.8030 8.8030 56.11 56.11 56.11
With the nearest neighbours (Å) after each atom.
Fractional positions:
Ac  0.0000  0.0000  0.0000  6 Se 3.17
Ac  0.0000  0.5000  0.5000  6 Se 3.18
Ac  0.5000  0.0000  0.5000  6 Se 3.18
Ac  0.5000  0.5000  0.0000  6 Se 3.18
Y  0.5000  0.5000  0.5000  6 Se 2.89
Ho  0.0000  0.0000  0.5000  6 Se 2.88
Ho  0.0000  0.5000  0.0000  6 Se 2.88
Ho  0.5000  0.0000  0.0000  6 Se 2.88
Se  0.2378  0.7398  0.7398  2 Ho 2.88, 1 Y 2.89, 3 Ac 3.17-3.18
Se  0.2388  0.2388  0.2388  3 Ho 2.88, 3 Ac 3.18
Se  0.2602  0.2602  0.7622  2 Ho 2.88, 1 Y 2.89, 3 Ac 3.17-3.18
Se  0.2602  0.7622  0.2602  2 Ho 2.88, 1 Y 2.89, 3 Ac 3.17-3.18
Se  0.7398  0.2378  0.7398  2 Ho 2.88, 1 Y 2.89, 3 Ac 3.17-3.18
Se  0.7398  0.7398  0.2378  2 Ho 2.88, 1 Y 2.89, 3 Ac 3.17-3.18
Se  0.7612  0.7612  0.7612  3 Ho 2.88, 3 Ac 3.18
Se  0.7623  0.2602  0.2602  2 Ho 2.88, 1 Y 2.89, 3 Ac 3.17-3.18

***

3.
A relaxed AcYHo2Se4 crystal. Source: Alexandria, functional PBE.

Calculated values
VASP energy   -5.9460 eV/atom
Formation energy without anion corrections   -1.738 eV per atom
Symmetry   P2/m
N(E_F)   0.529 states/eV/atom

Lattice parameters (Å, degrees): 7.1640 4.0909 7.3987 90.00 108.48 90.00
With the nearest neighbours (Å) after each atom.
Fractional positions:
Ac  0.0000  0.0000  0.0000  6 Se 3.07-3.08
Y  0.5000  0.5000  0.0000  6 Se 2.98-2.99
Ho  0.0000  0.5000  0.5000  6 Se 2.93
Ho  0.5000  0.0000  0.5000  6 Se 2.83-2.84
Se  0.2565  0.0000  0.7369  3 Ho 2.84-2.93, 2 Y 2.98, 1 Ac 3.07
Se  0.2686  0.5000  0.2721  3 Ho 2.83-2.93, 1 Y 2.99, 2 Ac 3.08
Se  0.7314  0.5000  0.7279  3 Ho 2.83-2.93, 1 Y 2.99, 2 Ac 3.08
Se  0.7435  0.0000  0.2631  3 Ho 2.84-2.93, 2 Y 2.98, 1 Ac 3.07

***

4.
A relaxed Ac4Y3HoSe8 crystal. Source: Alexandria, functional PBE.

Calculated values
VASP energy   -6.0705 eV/atom
Formation energy without anion corrections   -1.803 eV per atom
Symmetry   R-3m
N(E_F)   0.495 states/eV/atom

Lattice parameters (Å, degrees): 8.7881 8.7881 8.7881 56.49 56.49 56.49
With the nearest neighbours (Å) after each atom.
Fractional positions:
Ac  0.0000  0.0000  0.0000  6 Se 3.18
Ac  0.0000  0.5000  0.5000  6 Se 3.17
Ac  0.5000  0.0000  0.5000  6 Se 3.17
Ac  0.5000  0.5000  0.0000  6 Se 3.17
Y  0.0000  0.0000  0.5000  6 Se 2.89-2.90
Y  0.0000  0.5000  0.0000  6 Se 2.89-2.90
Y  0.5000  0.0000  0.0000  6 Se 2.89-2.90
Ho  0.5000  0.5000  0.5000  6 Se 2.88
Se  0.2399  0.2399  0.2399  3 Y 2.89, 3 Ac 3.17
Se  0.2410  0.7389  0.7389  1 Ho 2.88, 2 Y 2.90, 3 Ac 3.17-3.18
Se  0.2611  0.2611  0.7590  1 Ho 2.88, 2 Y 2.90, 3 Ac 3.17-3.18
Se  0.2611  0.7590  0.2611  1 Ho 2.88, 2 Y 2.90, 3 Ac 3.17-3.18
Se  0.7389  0.2410  0.7389  1 Ho 2.88, 2 Y 2.90, 3 Ac 3.17-3.18
Se  0.7389  0.7389  0.2410  1 Ho 2.88, 2 Y 2.90, 3 Ac 3.17-3.18
Se  0.7590  0.2611  0.2611  1 Ho 2.88, 2 Y 2.90, 3 Ac 3.17-3.18
Se  0.7601  0.7601  0.7601  3 Y 2.89, 3 Ac 3.17

***

5.
A relaxed AcYHoSe3 crystal. Source: Alexandria, functional PBE.

Calculated values
VASP energy   -5.9263 eV/atom
Formation energy without anion corrections   -1.659 eV per atom
Symmetry   P2_1/m
N(E_F)   0.614 states/eV/atom

Lattice parameters (Å, degrees): 8.1694 4.1644 10.4637 90.00 104.71 90.00
With the nearest neighbours (Å) after each atom.
Fractional positions:
Ac  0.1877  0.2500  0.2122  7 Se 3.12-3.25
Ac  0.8123  0.7500  0.7878  7 Se 3.12-3.25
Y  0.1690  0.2500  0.6256  5 Se 2.86-3.00
Y  0.8310  0.7500  0.3744  5 Se 2.86-3.00
Ho  0.3364  0.7500  0.9065  5 Se 2.82-2.91
Ho  0.6636  0.2500  0.0935  5 Se 2.82-2.91
Se  0.0997  0.2500  0.8917  2 Ho 2.82, 1 Y 2.98, 2 Ac 3.12
Se  0.2025  0.7500  0.4460  3 Y 2.86-2.94, 2 Ac 3.19
Se  0.4828  0.7500  0.1902  3 Ho 2.88-2.91, 1 Y 3.00
Se  0.5172  0.2500  0.8098  3 Ho 2.88-2.91, 1 Y 3.00
Se  0.7975  0.2500  0.5540  3 Y 2.86-2.94, 2 Ac 3.19
Se  0.9003  0.7500  0.1083  2 Ho 2.82, 1 Y 2.98, 2 Ac 3.12

***

6.
A relaxed Ac3Y3HoSe8 crystal. Source: Alexandria, functional PBE.

Calculated values
VASP energy   -6.1396 eV/atom
Formation energy without anion corrections   -1.862 eV per atom
Symmetry   R-3m
N(E_F)   0.491 states/eV/atom

Lattice parameters (Å, degrees): 8.6308 8.6308 8.6308 58.01 58.01 58.01
With the nearest neighbours (Å) after each atom.
Fractional positions:
Ac  0.0000  0.5000  0.5000  6 Se 3.12-3.13
Ac  0.5000  0.0000  0.5000  6 Se 3.12-3.13
Ac  0.5000  0.5000  0.0000  6 Se 3.12-3.13
Y  0.0000  0.0000  0.5000  6 Se 2.89-2.90
Y  0.0000  0.5000  0.0000  6 Se 2.89-2.90
Y  0.5000  0.0000  0.0000  6 Se 2.89-2.90
Ho  0.5000  0.5000  0.5000  6 Se 2.92
Se  0.2390  0.7434  0.7434  2 Y 2.90, 1 Ho 2.92, 2 Ac 3.12
Se  0.2408  0.2408  0.2408  3 Y 2.89, 3 Ac 3.13
Se  0.2566  0.2566  0.7610  2 Y 2.90, 1 Ho 2.92, 2 Ac 3.12
Se  0.2566  0.7610  0.2566  2 Y 2.90, 1 Ho 2.92, 2 Ac 3.12
Se  0.7434  0.2390  0.7434  2 Y 2.90, 1 Ho 2.92, 2 Ac 3.12
Se  0.7434  0.7434  0.2390  2 Y 2.90, 1 Ho 2.92, 2 Ac 3.12
Se  0.7592  0.7592  0.7592  3 Y 2.89, 3 Ac 3.13
Se  0.7610  0.2566  0.2566  2 Y 2.90, 1 Ho 2.92, 2 Ac 3.12

***

7.
A relaxed AcYHo2Se6 crystal. Source: Alexandria, functional PBE.

Calculated values
VASP energy   -5.9437 eV/atom
Formation energy without anion corrections   -1.880 eV per atom
Symmetry   R3
N(E_F)   0.000 states/eV/atom

Lattice parameters (Å, degrees): 7.7638 7.7638 7.7638 56.67 56.67 56.67
With the nearest neighbours (Å) after each atom.
Fractional positions:
Ac  0.0000  0.0000  0.0000  6 Se 3.06-3.19
Y  0.4863  0.4863  0.4863  6 Se 2.89-2.91
Ho  0.2869  0.2869  0.2869  6 Se 2.84-2.88
Ho  0.7940  0.7940  0.7940  6 Se 2.81-2.89
Se  0.0731  0.6509  0.4326  2 Ho 2.81-2.88, 1 Y 2.91, 1 Ac 3.06
Se  0.1904  0.5720  0.8932  2 Ho 2.84-2.89, 1 Y 2.89
Se  0.4326  0.0731  0.6509  2 Ho 2.81-2.88, 1 Y 2.91, 1 Ac 3.06
Se  0.5720  0.8932  0.1904  2 Ho 2.84-2.89, 1 Y 2.89
Se  0.6509  0.4326  0.0731  2 Ho 2.81-2.88, 1 Y 2.91, 1 Ac 3.06
Se  0.8932  0.1904  0.5720  2 Ho 2.84-2.89, 1 Y 2.89

***

8.
A relaxed Ac2HoSi2 crystal. Source: Alexandria, functional PBE.

Calculated values
VASP energy   -5.3028 eV/atom
Formation energy without anion corrections   -0.575 eV per atom
Symmetry   P4/mbm
N(E_F)   0.842 states/eV/atom

Lattice parameters (Å, degrees): 7.8229 7.8229 4.7320 90.00 90.00 90.00
With the nearest neighbours (Å) after each atom.
Fractional positions:
Ac  0.1789  0.3211  0.0000  6 Si 3.30-3.33
Ac  0.3211  0.8211  0.0000  6 Si 3.30-3.33
Ac  0.6789  0.1789  0.0000  6 Si 3.30-3.33
Ac  0.8211  0.6789  0.0000  6 Si 3.30-3.33
Ho  0.0000  0.0000  0.5000  4 Si 3.15
Ho  0.5000  0.5000  0.5000  4 Si 3.15
Si  0.1129  0.6129  0.5000  1 Si 2.50
Si  0.3871  0.1129  0.5000  1 Si 2.50
Si  0.6129  0.8871  0.5000  1 Si 2.50
Si  0.8871  0.3871  0.5000  1 Si 2.50

***

9.
A relaxed AcHoSi3 crystal. Source: Alexandria, functional PBE.

Calculated values
VASP energy   -5.6306 eV/atom
Formation energy without anion corrections   -0.640 eV per atom
Symmetry   Cmcm
N(E_F)   0.377 states/eV/atom

Lattice parameters (Å, degrees): 12.6696 12.6696 4.0129 90.00 90.00 159.53
With the nearest neighbours (Å) after each atom.
Fractional positions:
Ac  0.0724  0.9276  0.7500  12 Si 3.23-3.53
Ac  0.9276  0.0724  0.2500  12 Si 3.23-3.53
Ho  0.2030  0.7970  0.2500  7 Si 2.88-3.06
Ho  0.7970  0.2030  0.7500  7 Si 2.88-3.06
Si  0.3186  0.6814  0.2500  2 Si 2.46
Si  0.3760  0.6240  0.7500  3 Si 2.45-2.46
Si  0.4742  0.5258  0.7500  3 Si 2.38-2.45
Si  0.5258  0.4742  0.2500  3 Si 2.38-2.45
Si  0.6240  0.3760  0.2500  3 Si 2.45-2.46
Si  0.6814  0.3186  0.7500  2 Si 2.46

***

10.
A relaxed Ac3HoSi7 crystal. Source: Alexandria, functional PBE.

Calculated values
VASP energy   -5.5601 eV/atom
Formation energy without anion corrections   -0.572 eV per atom
Symmetry   Cmcm
N(E_F)   0.426 states/eV/atom

Lattice parameters (Å, degrees): 10.0234 10.0234 11.9911 90.00 90.00 154.60
With the nearest neighbours (Å) after each atom.
Fractional positions:
Ac  0.1060  0.8940  0.5485  11 Si 3.20-3.42
Ac  0.1060  0.8940  0.9515  11 Si 3.20-3.42
Ac  0.2463  0.7537  0.2500  11 Si 3.34-3.57
Ac  0.7537  0.2463  0.7500  11 Si 3.34-3.57
Ac  0.8940  0.1060  0.0485  11 Si 3.20-3.42
Ac  0.8940  0.1060  0.4515  11 Si 3.20-3.42
Ho  0.0460  0.9540  0.2500  10 Si 2.94-3.18
Ho  0.9540  0.0460  0.7500  10 Si 2.94-3.18
Si  0.2695  0.7305  0.5326  3 Si 2.37-2.46
Si  0.2695  0.7305  0.9674  3 Si 2.37-2.46
Si  0.3669  0.6331  0.6510  3 Si 2.37-2.45
Si  0.3669  0.6331  0.8490  3 Si 2.37-2.45
Si  0.4288  0.5712  0.2500  2 Si 2.46
Si  0.4876  0.5124  0.5968  3 Si 2.37-2.46
Si  0.4876  0.5124  0.9032  3 Si 2.37-2.46
Si  0.5124  0.4876  0.0968  3 Si 2.37-2.46
Si  0.5124  0.4876  0.4032  3 Si 2.37-2.46
Si  0.5712  0.4288  0.7500  2 Si 2.46
Si  0.6331  0.3669  0.1510  3 Si 2.37-2.45
Si  0.6331  0.3669  0.3490  3 Si 2.37-2.45
Si  0.7305  0.2695  0.0326  3 Si 2.37-2.46
Si  0.7305  0.2695  0.4674  3 Si 2.37-2.46